(1)
Here is crystalline CaAcSmPb at its relaxed geometry from Alexandria. Energies are from PBE.

Structure (POSCAR):
```
CaAcSmPb
1.0
5.7737 0.0000 0.0000
2.8869 5.0002 0.0000
2.8869 1.6667 4.7142
Pb Ac Ca Sm
1 1 1 1
Direct
0.5000 0.5000 0.5000
0.0000 0.0000 0.0000
0.7500 0.7500 0.7500
0.2500 0.2500 0.2500
```

Output
- Total magnetic moment: 1.0 Bohr magnetons per cell
- E: -3.672 eV per atom
- Space-group type: F-43m, No. 216
- Density of states at the Fermi level: 6.7 states/eV/cell

***

(2)
Here is crystalline CaAcSnPb at its relaxed geometry from Alexandria. Energies are from PBE.

Structure (POSCAR):
```
CaAcSnPb
1.0
-5.5742 1.1359 -0.3505
-3.6226 -2.3254 3.7355
-2.4985 3.2579 3.9532
Pb Ac Ca Sn
1 1 1 1
Direct
0.0000 0.0000 0.0000
0.2500 0.2500 0.2500
0.7500 0.7500 0.7500
0.5000 0.5000 0.5000
```

Output
- Total magnetic moment: 0.0 Bohr magnetons per cell
- E: -3.985 eV per atom
- Relative energy among the computed polymorphs: 0.058 eV/atom
- Space-group type: F-43m, No. 216
- Density of states at the Fermi level: 2.8 states/eV/cell

***

(3)
Here is crystalline CaAcSnPb at its relaxed geometry from Alexandria. Energies are from PBE.

Structure (POSCAR):
```
CaAcSnPb
1.0
-1.1024 4.5884 -1.4912
-0.1747 -1.4349 -4.2860
-5.4104 -3.5147 1.3973
Ca Ac Sn Pb
1 1 1 1
Direct
0.1340 0.0000 0.2680
0.8634 0.5000 0.7267
0.4141 0.0000 0.8282
0.5885 0.5000 0.1770
```

Output
- Total magnetic moment: 0.0 Bohr magnetons per cell
- E: -4.043 eV per atom
- Relative energy among the computed polymorphs: 0.000 eV/atom
- Space-group type: Amm2, No. 38
- Density of states at the Fermi level: 2.6 states/eV/cell

***

(4)
Here is crystalline CaAcTe4Pb2 at its relaxed geometry from Alexandria. Energies are from PBE.

Structure (POSCAR):
```
CaAcTe4Pb2
1.0
-4.0015 -1.7733 -1.9063
2.7666 -7.2345 0.9222
-2.1946 -3.0503 7.4438
Ca Ac Te Pb
1 1 4 2
Direct
0.5000 0.5000 0.0000
0.0000 0.5000 0.5000
0.0000 0.7469 0.7578
0.0000 0.2531 0.2422
0.5000 0.7511 0.2410
0.5000 0.2489 0.7590
0.0000 0.0000 0.0000
0.5000 0.0000 0.5000
```

Output
- Total magnetic moment: 0.0 Bohr magnetons per cell
- E: -4.183 eV per atom
- Space-group type: P2/m, No. 10
- Density of states at the Fermi level: 3.8 states/eV/cell
- Raw formation energy: -0.921 eV/atom

***

(5)
Here is crystalline Ca2AcZn2Pb2 at its relaxed geometry from Alexandria. Energies are from PBE.

Structure (POSCAR):
```
Ca2AcZn2Pb2
1.0
-4.4762 -1.7785 1.3877
-0.4906 -2.4291 4.3571
-3.5147 6.5898 6.1614
Ca Ac Zn Pb
2 1 2 2
Direct
0.1357 0.1357 0.5928
0.8643 0.8643 0.4072
0.0000 0.0000 0.0000
0.5593 0.5593 0.3220
0.4407 0.4407 0.6780
0.7403 0.7403 0.7792
0.2597 0.2597 0.2208
```

Output
- Total magnetic moment: 0.0 Bohr magnetons per cell
- E: -2.882 eV per atom
- Space-group type: R-3m, No. 166
- Density of states at the Fermi level: 3.3 states/eV/cell

***

(6)
Here is crystalline CaAcZnPb at its relaxed geometry from Alexandria. Energies are from PBE.

Structure (POSCAR):
```
CaAcZnPb
1.0
-2.2432 1.2513 -4.9674
3.1595 -0.1476 -4.6118
-0.7911 -4.0222 -3.8038
Pb Ac Ca Zn
1 1 1 1
Direct
0.5000 0.5000 0.5000
0.7500 0.7500 0.7500
0.2500 0.2500 0.2500
0.0000 0.0000 0.0000
```

Output
- Total magnetic moment: 0.0 Bohr magnetons per cell
- E: -3.163 eV per atom
- Space-group type: F-43m, No. 216
- Density of states at the Fermi level: 3.3 states/eV/cell